7
Lattice="-3.578 -1.973 -2.703 1.095 -2.470 -4.087 -0.133 -10.273 3.237" Properties=species:S:1:pos:R:3 comment="PBE-GGA Tb4PmAu2, optimized geometry" formation_enthalpy_0k_kj_per_mol_fu=-168 pbc="T T T"
Tb -2.269 -7.144 -5.100
Tb -0.346 -7.573 1.548
Tb -0.756 -2.387 -1.696
Tb -1.860 -12.330 -1.856
Pm -1.308 -7.358 -1.776
Au -1.094 -10.060 -0.087
Au -1.521 -4.657 -3.466

=====

10
Lattice="5.265 0.000 0.000 0.000 5.260 0.000 0.000 0.000 5.260" Properties=species:S:1:pos:R:3 comment="PBE-GGA Ho2TiCdO6, optimized geometry" e_form_raw_ev_per_atom=-2.7283 pbc="T T T"
O 1.307 0.000 0.000
O 0.698 2.630 2.630
O 3.928 1.243 4.017
O 3.928 4.017 1.243
O 3.928 4.017 4.017
O 3.928 1.243 1.243
Ti 3.150 0.000 0.000
Ho 5.143 2.630 0.000
Ho 5.143 0.000 2.630
Cd 2.787 2.630 2.630

=====

9
Lattice="-0.626 4.954 -2.280 -4.091 1.091 3.494 7.742 4.503 7.659" Properties=species:S:1:pos:R:3 comment="PBE-GGA Ac2PmHoTe5, optimized geometry" e_form_raw_ev_per_atom=-1.0251 pbc="T T T"
Ho 3.871 2.251 3.829
Ac 3.065 6.177 5.972
Ac -0.040 4.371 2.901
Te 1.826 2.797 5.576
Te 3.558 4.728 2.690
Te 5.820 3.385 5.757
Te 1.922 1.118 1.902
Te -2.358 3.023 0.607
Pm 0.000 0.000 0.000

=====

8
Lattice="-2.809 1.916 0.647 -4.388 -8.533 6.419 6.440 5.763 1.676" Properties=species:S:1:pos:R:3 comment="PBE-GGA Sm3ErTm4, optimized geometry" polymorph_energy_mev_per_atom=125 formation_enthalpy_0k_kj_per_mol_fu=107 pbc="T T T"
Sm 1.386 1.197 2.540
Sm -2.194 -4.267 3.209
Sm -2.143 -2.051 6.202
Tm -1.722 -0.463 3.307
Tm 0.965 -0.392 5.435
Tm -3.952 -4.821 6.581
Tm 3.196 3.966 2.161
Er -1.404 0.958 0.323

=====

4
Lattice="-2.253 4.893 -1.855 -5.582 0.972 0.595 -1.831 3.890 3.737" Properties=species:S:1:pos:R:3 comment="PBE-GGA Nd2TmLu, optimized geometry" polymorph_energy_mev_per_atom=68 formation_enthalpy_0k_kj_per_mol_fu=34 pbc="T T T"
Tm -4.833 4.878 1.239
Lu 0.000 0.000 0.000
Nd -2.416 2.439 0.619
Nd -7.249 7.316 1.858

=====

8
Lattice="7.251 0.000 3.394 3.626 4.944 1.697 2.222 0.000 9.456" Properties=species:S:1:pos:R:3 comment="PBE-GGA NaFeI6, optimized geometry" e_form_raw_ev_per_atom=-0.2536 pbc="T T T"
I 3.887 3.208 3.767
I 7.912 4.944 5.437
I 7.513 1.736 5.463
I 5.187 0.000 9.109
I 5.587 3.207 9.083
I 9.212 1.736 10.780
Na 1.111 0.000 4.728
Fe 0.000 0.000 0.000

=====

6
Lattice="3.116 -5.422 -0.293 -0.930 -4.385 4.371 -3.034 -5.279 -1.458" Properties=species:S:1:pos:R:3 comment="PBE-GGA Tl4CdW, optimized geometry" formation_enthalpy_0k_kj_per_mol_fu=629 pbc="T T T"
Tl -0.318 -5.663 0.983
Tl 1.235 -8.366 0.837
Tl -1.831 -8.294 0.257
Tl -0.782 -7.849 3.162
Cd 0.000 0.000 0.000
W -0.636 -11.314 1.965